1.
Here is a geometry-optimized Ce2P4Ir3Pt structure from the Alexandria database. Energies are from PBE.

abc: 4.2251 4.2251 9.4769
angles: 90.00 90.00 90.00
With the nearest neighbours (Å) after each atom.
Fractional positions:
P (0.0000, 0.0000, 0.0000)  4 Ir 2.36
P (0.5000, 0.0000, 0.6394)  3 Ir 2.36-2.49, 2 Pt 2.49
P (0.0000, 0.5000, 0.3606)  3 Ir 2.36-2.49, 2 Pt 2.49
P (0.5000, 0.5000, 0.0000)  4 Ir 2.36
Pt (0.5000, 0.5000, 0.5000)  4 P 2.49
Ce (0.0000, 0.5000, 0.7579)  8 P 3.12-3.19, 7 Ir 3.23-3.35, 2 Pt 3.23
Ce (0.5000, 0.0000, 0.2421)  8 P 3.12-3.19, 7 Ir 3.23-3.35, 2 Pt 3.23
Ir (0.5000, 0.0000, 0.8883)  5 P 2.36
Ir (0.0000, 0.5000, 0.1117)  5 P 2.36
Ir (0.0000, 0.0000, 0.5000)  4 P 2.49

Values from the calculation:
Electronic total energy   -7.63 eV per atom
Formation energy from the elements   -1.014 eV/atom
M_tot   0.60 μB/cell
Symmetry   P-4m2

2.
Here is a geometry-optimized CeP2Ir2Pt structure from the Alexandria database. Energies are from PBE.

abc: 3.6222 6.3166 8.8713
angles: 90.00 90.00 90.00
With the nearest neighbours (Å) after each atom.
Fractional positions:
Ir (0.0000, 0.3773, 0.1398)  4 P 2.31-2.41
Ir (0.5000, 0.0007, 0.1162)  3 P 2.37-2.38
Ir (0.0000, 0.8773, 0.8602)  4 P 2.31-2.41
Ir (0.5000, 0.5007, 0.8838)  3 P 2.37-2.38
Pt (0.5000, 0.6555, 0.3141)  3 P 2.39-2.67
Pt (0.5000, 0.1555, 0.6859)  3 P 2.39-2.67
Ce (0.0000, 0.9781, 0.4334)  3 P 2.89-3.23, 4 Pt 2.92-3.09
Ce (0.0000, 0.4781, 0.5666)  3 P 2.89-3.23, 4 Pt 2.92-3.09
P (0.0000, 0.2561, 0.8946)  4 Ir 2.31-2.41
P (0.0000, 0.7561, 0.1054)  4 Ir 2.31-2.41
P (0.5000, 0.7780, 0.7044)  3 Ir 2.36-2.37, 1 Pt 2.39
P (0.5000, 0.2780, 0.2956)  3 Ir 2.36-2.37, 1 Pt 2.39

Values from the calculation:
Electronic total energy   -7.43 eV per atom
Formation energy from the elements   -0.677 eV/atom
M_tot   0.00 μB/cell
Symmetry   Pmc2_1

3.
Here is a geometry-optimized Ce2P4IrPt3 structure from the Alexandria database. Energies are from PBE.

abc: 4.3074 4.3074 9.4397
angles: 90.00 90.00 90.00
With the nearest neighbours (Å) after each atom.
Fractional positions:
Ir (0.5000, 0.5000, 0.5000)  4 P 2.48
Ce (0.0000, 0.5000, 0.7546)  8 P 3.16-3.27, 7 Pt 3.23-3.42, 2 Ir 3.23
Ce (0.5000, 0.0000, 0.2454)  8 P 3.16-3.27, 2 Ir 3.23, 7 Pt 3.23-3.42
P (0.5000, 0.0000, 0.6297)  3 Pt 2.39-2.48, 2 Ir 2.48
P (0.0000, 0.0000, 0.0000)  4 Pt 2.42
P (0.0000, 0.5000, 0.3703)  3 Pt 2.39-2.48, 2 Ir 2.48
P (0.5000, 0.5000, 0.0000)  4 Pt 2.42
Pt (0.0000, 0.0000, 0.5000)  4 P 2.48
Pt (0.0000, 0.5000, 0.1170)  5 P 2.39-2.42
Pt (0.5000, 0.0000, 0.8830)  5 P 2.39-2.42

Values from the calculation:
Electronic total energy   -6.99 eV per atom
Formation energy from the elements   -0.941 eV/atom
M_tot   1.42 μB/cell
Symmetry   P-4m2

4.
Here is a geometry-optimized Ce2P3Ir4Pt structure from the Alexandria database. Energies are from PBE.

abc: 3.9762 3.9762 10.8964
angles: 90.00 90.00 90.00
With the nearest neighbours (Å) after each atom.
Fractional positions:
Ce (0.0000, 0.5000, 0.7450)  4 Ir 2.92, 4 P 3.16
Ce (0.5000, 0.0000, 0.2550)  4 Ir 2.92, 4 P 3.16
P (0.0000, 0.0000, 0.5000)  4 Ir 2.73, 4 Pt 2.81
P (0.0000, 0.5000, 0.1229)  5 Ir 2.24-2.40
P (0.5000, 0.0000, 0.8771)  5 Ir 2.24-2.40
Ir (0.5000, 0.0000, 0.6712)  1 P 2.24
Ir (0.5000, 0.5000, 0.0000)  4 P 2.40
Ir (0.0000, 0.0000, 0.0000)  4 P 2.40
Ir (0.0000, 0.5000, 0.3288)  1 P 2.24
Pt (0.5000, 0.5000, 0.5000)  4 Ir 2.73, 4 P 2.81

Values from the calculation:
Electronic total energy   -7.82 eV per atom
Formation energy from the elements   -0.865 eV/atom
M_tot   0.00 μB/cell
Symmetry   P-4m2

5.
Here is a geometry-optimized CeP2Ir5Pt structure from the Alexandria database. Energies are from PBE.

abc: 3.9705 3.9705 10.4795
angles: 90.00 90.00 90.00
With the nearest neighbours (Å) after each atom.
Fractional positions:
Pt (0.0000, 0.0000, 0.0000)  8 Ir 2.66
Ir (0.5000, 0.0000, 0.8309)  2 P 2.30
Ir (0.5000, 0.0000, 0.1691)  2 P 2.30
Ir (0.0000, 0.5000, 0.1691)  2 P 2.30
Ir (0.0000, 0.5000, 0.8309)  2 P 2.30
Ir (0.5000, 0.5000, 0.5000)  2 P 2.31
P (0.5000, 0.5000, 0.2797)  5 Ir 2.30-2.31
P (0.5000, 0.5000, 0.7203)  5 Ir 2.30-2.31
Ce (0.0000, 0.0000, 0.5000)  4 Ir 2.81

Values from the calculation:
Electronic total energy   -7.82 eV per atom
Formation energy from the elements   -0.366 eV/atom
M_tot   0.56 μB/cell
Symmetry   P4/mmm

6.
Here is a geometry-optimized CePuP2Ir2 structure from the Alexandria database. Energies are from PBE.

abc: 4.0872 4.0872 7.9354
angles: 90.00 90.00 120.00
With the nearest neighbours (Å) after each atom.
Fractional positions:
Ir (0.6667, 0.3333, 0.2648)  3 P 2.37
Ir (0.3333, 0.6667, 0.7352)  3 P 2.37
P (0.6667, 0.3333, 0.7614)  3 Ir 2.37
P (0.3333, 0.6667, 0.2386)  3 Ir 2.37
Ce (0.0000, 0.0000, 0.0000)  6 P 3.03, 6 Ir 3.16
Pu (0.0000, 0.0000, 0.5000)  6 Ir 3.01, 6 P 3.14

Values from the calculation:
Electronic total energy   -9.18 eV per atom
Formation energy from the elements   -1.045 eV/atom
M_tot   4.88 μB/cell
Symmetry   P-3m1

7.
Here is a geometry-optimized Ce2P3IrRh12 structure from the Alexandria database. Energies are from PBE.

abc: 6.7699 6.7699 6.7699
angles: 78.50 78.50 78.50
With the nearest neighbours (Å) after each atom.
Fractional positions:
P (0.0000, 0.0000, 0.5000)  6 Rh 2.27-2.36
P (0.0000, 0.5000, 0.0000)  6 Rh 2.27-2.36
P (0.5000, 0.0000, 0.0000)  6 Rh 2.27-2.36
Ce (0.3881, 0.3881, 0.3881)  3 Rh 2.45
Ce (0.6119, 0.6119, 0.6119)  3 Rh 2.45
Rh (0.9131, 0.3430, 0.3430)  2 P 2.36
Rh (0.0869, 0.6570, 0.6570)  2 P 2.36
Rh (0.1740, 0.1740, 0.6429)  1 P 2.27, 1 Ce 2.45
Rh (0.3571, 0.8260, 0.8260)  1 P 2.27, 1 Ce 2.45
Rh (0.6570, 0.6570, 0.0869)  2 P 2.36
Rh (0.3430, 0.3430, 0.9131)  2 P 2.36
Rh (0.6570, 0.0869, 0.6570)  2 P 2.36
Rh (0.6429, 0.1740, 0.1740)  1 P 2.27, 1 Ce 2.45
Rh (0.3430, 0.9131, 0.3430)  2 P 2.36
Rh (0.8260, 0.3571, 0.8260)  1 P 2.27, 1 Ce 2.45
Rh (0.1740, 0.6429, 0.1740)  1 P 2.27, 1 Ce 2.45
Rh (0.8260, 0.8260, 0.3571)  1 P 2.27, 1 Ce 2.45
Ir (0.0000, 0.0000, 0.0000)  6 Rh 2.63

Values from the calculation:
Electronic total energy   -7.19 eV per atom
Formation energy from the elements   -0.235 eV/atom
M_tot   0.00 μB/cell
Symmetry   R-3m

8.
Here is a geometry-optimized Ce2P4IrRh3 structure from the Alexandria database. Energies are from PBE.

abc: 4.1580 4.1580 9.5370
angles: 90.00 90.00 90.00
With the nearest neighbours (Å) after each atom.
Fractional positions:
Ce (0.5000, 0.0000, 0.2418)  8 P 3.10-3.15, 7 Rh 3.18-3.39, 2 Ir 3.22
Ce (0.0000, 0.5000, 0.7582)  8 P 3.10-3.15, 7 Rh 3.18-3.39, 2 Ir 3.22
Ir (0.5000, 0.5000, 0.5000)  4 P 2.46
P (0.0000, 0.0000, 0.0000)  4 Rh 2.35
P (0.5000, 0.5000, 0.0000)  4 Rh 2.35
P (0.0000, 0.5000, 0.3614)  3 Rh 2.36-2.46, 2 Ir 2.46
P (0.5000, 0.0000, 0.6386)  3 Rh 2.36-2.46, 2 Ir 2.46
Rh (0.0000, 0.0000, 0.5000)  4 P 2.46
Rh (0.5000, 0.0000, 0.8859)  5 P 2.35-2.36
Rh (0.0000, 0.5000, 0.1141)  5 P 2.35-2.36

Values from the calculation:
Electronic total energy   -7.54 eV per atom
Formation energy from the elements   -1.094 eV/atom
M_tot   0.50 μB/cell
Symmetry   P-4m2

9.
Here is a geometry-optimized Ce2P4Ir3Rh structure from the Alexandria database. Energies are from PBE.

abc: 4.1800 4.1800 9.5225
angles: 90.00 90.00 90.00
With the nearest neighbours (Å) after each atom.
Fractional positions:
P (0.5000, 0.5000, 0.0000)  4 Ir 2.35
P (0.0000, 0.5000, 0.3617)  3 Ir 2.36-2.47, 2 Rh 2.47
P (0.5000, 0.0000, 0.6383)  3 Ir 2.36-2.47, 2 Rh 2.47
P (0.0000, 0.0000, 0.0000)  4 Ir 2.35
Ce (0.0000, 0.5000, 0.7568)  8 P 3.12-3.16, 7 Ir 3.20-3.40, 2 Rh 3.22
Ce (0.5000, 0.0000, 0.2432)  8 P 3.12-3.16, 7 Ir 3.20-3.40, 2 Rh 3.22
Ir (0.0000, 0.5000, 0.1135)  5 P 2.35-2.36
Ir (0.5000, 0.0000, 0.8865)  5 P 2.35-2.36
Ir (0.0000, 0.0000, 0.5000)  4 P 2.47
Rh (0.5000, 0.5000, 0.5000)  4 P 2.47

Values from the calculation:
Electronic total energy   -7.82 eV per atom
Formation energy from the elements   -1.071 eV/atom
M_tot   0.46 μB/cell
Symmetry   P-4m2

10.
Here is a geometry-optimized CePIrRh structure from the Alexandria database. Energies are from PBE.

abc: 4.1089 3.9923 4.9157
angles: 113.96 90.00 90.00
With the nearest neighbours (Å) after each atom.
Fractional positions:
Ce (0.5000, 0.2185, 0.4371)  3 Ir 2.52-2.81
P (0.0000, 0.6206, 0.2413)  2 Ir 2.33, 1 Rh 2.42
Rh (0.0000, 0.8898, 0.7796)  1 P 2.42
Ir (0.5000, 0.4988, 0.9976)  2 P 2.33, 1 Ce 2.52

Values from the calculation:
Electronic total energy   -7.56 eV per atom
Formation energy from the elements   -0.673 eV/atom
M_tot   0.00 μB/cell
Symmetry   Amm2

11.
Here is a geometry-optimized CeP2Ir2Rh structure from the Alexandria database. Energies are from PBE.

abc: 3.8053 7.1308 7.5210
angles: 90.00 90.00 90.00
With the nearest neighbours (Å) after each atom.
Fractional positions:
P (0.0000, 0.7979, 0.1890)  3 Ir 2.36-2.40, 2 Rh 2.37
P (0.0000, 0.2979, 0.8110)  3 Ir 2.36-2.40, 2 Rh 2.37
P (0.5000, 0.3125, 0.2991)  3 Ir 2.29-2.41, 1 Rh 2.36
P (0.5000, 0.8125, 0.7009)  3 Ir 2.29-2.41, 1 Rh 2.36
Rh (0.5000, 0.6045, 0.1504)  3 P 2.36-2.37
Rh (0.5000, 0.1045, 0.8496)  3 P 2.36-2.37
Ir (0.0000, 0.7876, 0.8695)  3 P 2.29-2.40
Ir (0.5000, 0.9932, 0.1943)  3 P 2.36-2.41
Ir (0.5000, 0.4932, 0.8057)  3 P 2.36-2.41
Ir (0.0000, 0.2876, 0.1305)  3 P 2.29-2.40
Ce (0.0000, 0.5499, 0.4995)  6 P 2.93-3.07, 3 Ir 3.01-3.26, 2 Rh 3.27
Ce (0.0000, 0.0499, 0.5005)  6 P 2.93-3.07, 3 Ir 3.01-3.26, 2 Rh 3.27

Values from the calculation:
Electronic total energy   -7.71 eV per atom
Formation energy from the elements   -0.740 eV/atom
M_tot   0.00 μB/cell
Symmetry   Pmc2_1